1.
A relaxed La2ScNb crystal. Source: Alexandria via LeMat-Bulk, functional PBE.

Results
ΔH_f (0 K) in eV per atom: 0.553
E above lowest polymorph in meV/atom: 239.3

abc: 3.2739 3.2739 35.1520
angles: 90.00 90.00 120.00
With the nearest neighbours (Å) after each atom.
Space group R-3m (No. 166, hexagonal axes)
Unique sites:
La: 0.0000 0.0000 0.0829 x6  1 Nb 2.92
Sc: 0.0000 0.0000 0.5000 x3  6 Sc 3.27, 6 La 3.50
Nb: 0.0000 0.0000 0.0000 x3  2 La 2.92

2.
A relaxed TaAlIn2 crystal. Source: Alexandria via LeMat-Bulk, functional PBE.

Results
ΔH_f (0 K) in eV per atom: 0.207

abc: 10.5096 2.9785 5.1799
angles: 90.00 96.13 90.00
With the nearest neighbours (Å) after each atom.
Space group C2/m (No. 12)
Unique sites:
Ta: 0.0000 0.0000 0.0000 x2  2 Ta 2.98, 4 Al 2.99, 6 In 3.09-3.12
Al: 0.0000 0.5000 0.5000 x2  2 Al 2.98, 6 In 2.98-3.25, 4 Ta 2.99
In: 0.2413 0.5000 0.2446 x4  6 In 2.96-3.02, 3 Al 2.98-3.25, 3 Ta 3.09-3.12

3.
A relaxed NdTiBi2 crystal. Source: Alexandria via LeMat-Bulk, functional PBE.

Results
ΔH_f (0 K) in eV per atom: -0.293
E above lowest polymorph in meV/atom: 0.0

abc: 3.6368 3.6368 8.0588
angles: 90.00 90.00 90.00
With the nearest neighbours (Å) after each atom.
Space group P4/mmm (No. 123)
Unique sites:
Nd: 0.0000 0.0000 0.0000 x1  8 Bi 3.45, 4 Nd 3.64
Ti: 0.0000 0.0000 0.5000 x1  8 Bi 3.10
Bi: 0.5000 0.5000 0.2849 x2  4 Ti 3.10, 4 Nd 3.45, 1 Bi 3.47

Number 1: magnetization 0.0 μB per formula unit. Number 2: magnetization 0.0 μB per formula unit. Number 3: magnetization 1.4 μB per formula unit.